This record from Alexandria describes a relaxed structure of GeSeF2. The functional is GGA-PBE.

Structure (POSCAR):
```
GeSeF2
1.0
3.937 0.000 0.000
0.000 3.937 0.000
1.969 1.969 7.923
F Se Ge
4 2 2
Direct
0.623 0.125 0.250 F
0.375 0.377 0.750 F
0.127 0.625 0.250 F
0.875 0.873 0.750 F
0.000 0.000 0.000 Se
0.750 0.250 0.500 Se
0.250 0.750 0.500 Ge
0.500 0.500 0.000 Ge
```

Output
Electronic total energy ... -3.851 eV/atom
Formation energy (no corrections) ... -3.56 eV/f.u.
Polymorph energy (0 for the lowest one) ... 14.6 meV per atom